Record 1
# NdSm4P5

A relaxed NdSm4P5 crystal (PBE-GGA, Alexandria via LeMat-Bulk).

a = 4.1235 Å, b = 7.1321 Å, c = 9.2110 Å
α = 75.07°, β = 77.07°, γ = 73.20°
Fractional positions:
Sm  0.7998  0.6013  0.7991
Sm  0.5996  0.2008  0.5999
Sm  0.4004  0.7992  0.4001
Sm  0.2002  0.3987  0.2009
P  0.0000  0.5000  0.5000
P  0.3987  0.3037  0.8990
P  0.7992  0.0996  0.3019
P  0.6013  0.6963  0.1010
P  0.2008  0.9004  0.6981
Nd  0.0000  0.0000  0.0000

## Properties
ΔH_f (0 K) in eV/atom: -1.56
Space-group type: No. 12
D(E_F) in states/eV/cell: 1.39

=====

Record 2
# NdSm2P3

A relaxed NdSm2P3 crystal (PBE-GGA, Alexandria via LeMat-Bulk).

a = 4.1326 Å, b = 5.8350 Å, c = 7.1476 Å
α = 114.09°, β = 106.80°, γ = 90.00°
Fractional positions:
Sm  0.1665  0.1665  0.8329
Sm  0.8335  0.8335  0.1671
P  0.8314  0.3314  0.1629
P  0.5000  0.0000  0.5000
P  0.1686  0.6686  0.8371
Nd  0.5000  0.5000  0.5000

## Properties
ΔH_f (0 K) in eV/atom: -1.56
Space-group type: No. 71
D(E_F) in states/eV/cell: 0.77

=====

Record 3
# Nd4SmP5

A relaxed Nd4SmP5 crystal (PBE-GGA, Alexandria via LeMat-Bulk).

a = 4.1596 Å, b = 5.8734 Å, c = 10.9933 Å
α = 105.49°, β = 100.91°, γ = 90.00°
Fractional positions:
P  0.5987  0.0987  0.1974
P  0.4013  0.9013  0.8026
P  0.7999  0.2999  0.5998
P  0.0000  0.5000  0.0000
P  0.2001  0.7001  0.4002
Nd  0.4003  0.4003  0.8006
Nd  0.1995  0.1995  0.3990
Nd  0.5997  0.5997  0.1994
Nd  0.8005  0.8005  0.6010
Sm  0.0000  0.0000  0.0000

## Properties
ΔH_f (0 K) in eV/atom: -1.54
Space-group type: No. 71
D(E_F) in states/eV/cell: 1.54

=====

Record 4
# NdSm3P

A relaxed NdSm3P crystal (PBE-GGA, Alexandria via LeMat-Bulk).

a = 5.5295 Å, b = 5.5295 Å, c = 5.5295 Å
α = 90.00°, β = 90.00°, γ = 90.00°
Fractional positions:
P  0.0000  0.0000  0.0000
Sm  0.0000  0.0000  0.5000
Sm  0.5000  0.0000  0.0000
Sm  0.0000  0.5000  0.0000
Nd  0.5000  0.5000  0.5000

## Properties
ΔH_f (0 K) in eV/atom: -0.40
Space-group type: No. 221
D(E_F) in states/eV/cell: 9.01

=====

Record 5
# Nd3SmP4

A relaxed Nd3SmP4 crystal (PBE-GGA, Alexandria via LeMat-Bulk).

a = 4.1555 Å, b = 7.1910 Å, c = 7.1910 Å
α = 109.45°, β = 90.00°, γ = 90.00°
Fractional positions:
P  0.0000  0.2477  0.2477
P  0.5000  0.2488  0.7512
P  0.5000  0.7512  0.2488
P  0.0000  0.7523  0.7523
Nd  0.0000  0.5000  0.0000
Nd  0.0000  0.0000  0.5000
Nd  0.5000  0.5000  0.5000
Sm  0.5000  0.0000  0.0000

## Properties
ΔH_f (0 K) in eV/atom: -1.55
Space-group type: No. 65
D(E_F) in states/eV/cell: 0.68

=====

Record 6
# Nd3SmP4

A relaxed Nd3SmP4 crystal (PBE-GGA, Alexandria via LeMat-Bulk).

a = 5.8715 Å, b = 5.8715 Å, c = 5.8715 Å
α = 90.00°, β = 90.00°, γ = 90.00°
Fractional positions:
P  0.5000  0.5000  0.5000
P  0.0000  0.5000  0.0000
P  0.0000  0.0000  0.5000
P  0.5000  0.0000  0.0000
Nd  0.5000  0.5000  0.0000
Nd  0.5000  0.0000  0.5000
Nd  0.0000  0.5000  0.5000
Sm  0.0000  0.0000  0.0000

## Properties
ΔH_f (0 K) in eV/atom: -1.55
Space-group type: No. 221
D(E_F) in states/eV/cell: 0.83

=====

Record 7
# TbNd2SmP4

A relaxed TbNd2SmP4 crystal (PBE-GGA, Alexandria via LeMat-Bulk).

a = 4.1205 Å, b = 7.1317 Å, c = 7.1307 Å
α = 109.46°, β = 90.00°, γ = 90.00°
Fractional positions:
Sm  0.5000  0.5000  0.0000
Tb  0.0000  0.0000  0.0000
Nd  0.0000  0.5000  0.5000
Nd  0.5000  0.0000  0.5000
P  0.0000  0.7504  0.2449
P  0.0000  0.2496  0.7551
P  0.5000  0.2456  0.2432
P  0.5000  0.7544  0.7568

## Properties
ΔH_f (0 K) in eV/atom: -1.56
Space-group type: No. 10
D(E_F) in states/eV/cell: 0.66

=====

Record 8
# Tb3Nd2SmP6

A relaxed Tb3Nd2SmP6 crystal (PBE-GGA, Alexandria via LeMat-Bulk).

a = 4.0904 Å, b = 8.1746 Å, c = 9.1399 Å
α = 102.91°, β = 102.93°, γ = 90.00°
Fractional positions:
Tb  0.1667  0.8335  0.3335
Tb  0.5000  0.5000  0.0000
Tb  0.8333  0.1665  0.6665
Nd  0.8337  0.6673  0.6673
Nd  0.1663  0.3327  0.3327
P  0.0020  0.7479  0.0040
P  0.6648  0.5879  0.3296
P  0.3324  0.9220  0.6648
P  0.6676  0.0780  0.3352
P  0.3352  0.4121  0.6704
P  0.9980  0.2521  0.9960
Sm  0.5000  0.0000  0.0000

## Properties
ΔH_f (0 K) in eV/atom: -1.58
Space-group type: No. 12
D(E_F) in states/eV/cell: 1.73

=====

Record 9
# Tb3NdSm2P6

A relaxed Tb3NdSm2P6 crystal (PBE-GGA, Alexandria via LeMat-Bulk).

a = 7.0634 Å, b = 7.0634 Å, c = 7.0632 Å
α = 99.59°, β = 99.59°, γ = 119.99°
Fractional positions:
P  0.7501  0.7501  0.2559
P  0.4206  0.0853  0.2560
P  0.5794  0.9147  0.7440
P  0.2499  0.2499  0.7441
P  0.0853  0.4206  0.2560
P  0.9147  0.5794  0.7440
Tb  0.8336  0.1664  0.5000
Tb  0.1664  0.8336  0.5000
Tb  0.5000  0.5000  0.5000
Sm  0.6667  0.3333  0.0000
Sm  0.3333  0.6667  0.0000
Nd  0.0000  0.0000  0.0000

## Properties
ΔH_f (0 K) in eV/atom: -1.58
Space-group type: No. 12
D(E_F) in states/eV/cell: 1.54

=====

Record 10
# Tb2Nd3SmP6

A relaxed Tb2Nd3SmP6 crystal (PBE-GGA, Alexandria via LeMat-Bulk).

a = 7.1215 Å, b = 7.1215 Å, c = 7.1214 Å
α = 99.59°, β = 99.59°, γ = 119.99°
Fractional positions:
P  0.4170  0.0811  0.2434
P  0.5830  0.9189  0.7566
P  0.0811  0.4170  0.2434
P  0.9189  0.5830  0.7566
P  0.2549  0.2549  0.7569
P  0.7451  0.7451  0.2431
Sm  0.0000  0.0000  0.0000
Tb  0.6668  0.3332  0.0000
Tb  0.3332  0.6668  0.0000
Nd  0.1662  0.8338  0.5000
Nd  0.5000  0.5000  0.5000
Nd  0.8338  0.1662  0.5000

## Properties
ΔH_f (0 K) in eV/atom: -1.56
Space-group type: No. 12
D(E_F) in states/eV/cell: 1.48

=====

Record 11
# NdSmTeP

A relaxed NdSmTeP crystal (PBE-GGA, Alexandria via LeMat-Bulk).

a = 4.1898 Å, b = 4.1902 Å, c = 7.8373 Å
α = 90.00°, β = 105.50°, γ = 120.00°
Fractional positions:
Sm  0.1095  0.9527  0.0776
Nd  0.4950  0.1454  0.6556
P  0.3077  0.5518  0.8748
Te  0.9657  0.3809  0.3617

## Properties
ΔE_f (raw) in kJ/mol of formula units: -596
Space-group type: No. 160
D(E_F) in states/eV/cell: 2.78

=====

Record 12
# Nd3SmTh2P6

A relaxed Nd3SmTh2P6 crystal (PBE-GGA, Alexandria via LeMat-Bulk).

a = 7.1919 Å, b = 7.1919 Å, c = 7.1832 Å
α = 99.59°, β = 99.59°, γ = 120.05°
Fractional positions:
Nd  0.8339  0.1661  0.5000
Nd  0.1661  0.8339  0.5000
Nd  0.5000  0.5000  0.5000
P  0.0818  0.4161  0.2452
P  0.5839  0.9182  0.7548
P  0.7473  0.7473  0.2456
P  0.9182  0.5839  0.7548
P  0.2527  0.2527  0.7544
P  0.4161  0.0818  0.2452
Sm  0.0000  0.0000  0.0000
Th  0.3332  0.6668  0.0000
Th  0.6668  0.3332  0.0000

## Properties
ΔH_f (0 K) in eV/atom: -1.58
Space-group type: No. 12
D(E_F) in states/eV/cell: 2.32

=====

Number 1: spin magnetization 0.0 μB per formula unit. Number 2: spin magnetization 0.0 μB per formula unit. Number 3: spin magnetization 0.0 μB per formula unit. Number 4: spin magnetization 0.0 μB per formula unit. Number 5: spin magnetization 0.0 μB per formula unit. Number 6: spin magnetization 0.0 μB per formula unit. Number 7: spin magnetization 0.0 μB per formula unit. Number 8: spin magnetization 0.0 μB per formula unit. Number 9: spin magnetization 0.0 μB per formula unit. Number 10: spin magnetization 0.0 μB per formula unit. Number 11: spin magnetization 0.0 μB per formula unit. Number 12: spin magnetization 0.0 μB per formula unit.